## Gd2Ga2IBr (PBE-GGA)

Data for a relaxed structure of Gd2Ga2IBr.

a b c (Å): 4.192 4.192 11.856
angles (deg): 90.00 90.00 120.00
Fractional positions:
Gd 0.000 0.000 0.000
Gd 0.000 0.000 0.346
Ga 0.333 0.667 0.144
Ga 0.667 0.333 0.200
I 0.667 0.333 0.830
Br 0.333 0.667 0.495

Properties
- SG = No. 156

## Hf2FeIr (PBE-GGA)

Data for a relaxed structure of Hf2FeIr.

a b c (Å): 6.362 6.362 6.362
angles (deg): 90.00 90.00 90.00
Fractional positions:
Hf 0.000 0.000 0.000
Hf 0.000 0.500 0.500
Hf 0.250 0.250 0.250
Hf 0.250 0.750 0.750
Hf 0.500 0.000 0.500
Hf 0.500 0.500 0.000
Hf 0.750 0.250 0.750
Hf 0.750 0.750 0.250
Fe 0.000 0.000 0.500
Fe 0.000 0.500 0.000
Fe 0.500 0.000 0.000
Fe 0.500 0.500 0.500
Ir 0.250 0.250 0.750
Ir 0.250 0.750 0.250
Ir 0.750 0.250 0.250
Ir 0.750 0.750 0.750

Properties
- SG = No. 216
- distance to the lowest polymorph of the same formula (eV/atom) = 0.395

## Zr2SeS3 (PBE-GGA)

Data for a relaxed structure of Zr2SeS3.

a b c (Å): 21.840 3.609 6.248
angles (deg): 90.00 90.20 90.00
Fractional positions:
Zr 0.000 0.000 0.000
Zr 0.003 0.500 0.505
Zr 0.500 0.500 0.000
Zr 0.503 0.000 0.505
Se 0.082 0.500 0.168
Se 0.582 0.000 0.168
S 0.074 0.000 0.670
S 0.430 0.500 0.668
S 0.432 0.000 0.171
S 0.574 0.500 0.670
S 0.930 0.000 0.668
S 0.932 0.500 0.171

Properties
- SG = No. 8
- distance to the lowest polymorph of the same formula (eV/atom) = 0.169

Number 1: raw total energy -4.244 eV/atom. Number 2: raw total energy -9.538 eV/atom. Number 3: raw total energy -6.796 eV/atom.